Below is crystalline TmTl2 at its relaxed geometry, with properties calculated at the PBE level.

Summary:
ρ ... 11.4 g/cm3
ΔH_f (0 K) ... -0.11 eV per atom
Density of states at the Fermi level ... 7.22 states/eV per cell

The structure in CIF format:
```
data_TmTl2
_space_group_name_H-M_alt 'C m c m'
_space_group_IT_number 63
_space_group_name_Hall '-C 2c 2'
_cell_length_a 3.6857
_cell_length_b 13.8835
_cell_length_c 6.5740
_cell_angle_alpha 90.00
_cell_angle_beta 90.00
_cell_angle_gamma 90.00
loop_
_atom_site_label
_atom_site_type_symbol
_atom_site_fract_x
_atom_site_fract_y
_atom_site_fract_z
Tm1 Tm 0.0000 0.1505 0.2500
Tl1 Tl 0.0000 0.1615 0.7500
Tl2 Tl 0.0000 0.5000 0.0000
```

---

Below is crystalline MgTi2O4 at its relaxed geometry, with properties calculated at the PBE level.

Summary:
Energy relative to the lowest polymorph listed for this composition ... 1.09 kcal/mol of atoms
ρ ... 3.9 g/cm3
Density of states at the Fermi level ... 27.58 states/eV per cell

The structure in CIF format:
```
data_MgTi2O4
_space_group_name_H-M_alt 'C 1 m 1'
_space_group_IT_number 8
_space_group_name_Hall 'C -2y'
_cell_length_a 10.6220
_cell_length_b 5.9220
_cell_length_c 14.7757
_cell_angle_alpha 90.00
_cell_angle_beta 90.88
_cell_angle_gamma 90.00
loop_
_atom_site_label
_atom_site_type_symbol
_atom_site_fract_x
_atom_site_fract_y
_atom_site_fract_z
Mg1 Mg 0.0000 0.0000 0.0000
Mg2 Mg 0.0057 0.0000 0.6329
Mg3 Mg 0.0130 0.5000 0.5061
Mg4 Mg 0.1638 0.0000 0.8369
Mg5 Mg 0.1753 0.5000 0.3384
Mg6 Mg 0.3366 0.5000 0.1693
Ti1 Ti 0.0078 0.0000 0.3860
Ti2 Ti 0.0896 0.2286 0.1708
Ti3 Ti 0.1696 0.5000 0.9603
Ti4 Ti 0.1795 0.5000 0.7062
Ti5 Ti 0.2639 0.2273 0.5077
Ti6 Ti 0.3418 0.0000 0.2901
Ti7 Ti 0.3433 0.0000 0.0457
Ti8 Ti 0.3445 0.0000 0.6759
Ti9 Ti 0.4181 0.2287 0.8300
O1 O 0.0030 0.0000 0.2574
O2 O 0.0132 0.5000 0.2514
O3 O 0.0153 0.5000 0.7488
O4 O 0.0807 0.2465 0.9183
O5 O 0.0995 0.2565 0.4248
O6 O 0.1711 0.5000 0.0887
O7 O 0.1727 0.0000 0.0841
O8 O 0.1794 0.5000 0.5793
O9 O 0.1800 0.0000 0.5896
O10 O 0.2512 0.2593 0.2499
O11 O 0.2558 0.2397 0.7551
O12 O 0.3347 0.0000 0.9160
O13 O 0.3360 0.5000 0.9177
O14 O 0.3377 0.5000 0.4239
O15 O 0.3450 0.0000 0.4193
O16 O 0.4173 0.2327 0.5846
O17 O 0.4294 0.2591 0.0904
O18 O 0.4981 0.5000 0.7658
```

---

Below is crystalline La2SiPt5 at its relaxed geometry, with properties calculated at the PBE level.

Summary:
ρ ... 12.3 g/cm3
Density of states at the Fermi level ... 2.78 states/eV per cell
Raw total energy ... -6.726 eV/atom

The structure in CIF format:
```
data_La2SiPt5
_space_group_name_H-M_alt 'I m m 2'
_space_group_IT_number 44
_space_group_name_Hall 'I 2 -2'
_cell_length_a 5.7179
_cell_length_b 6.5007
_cell_length_c 9.3107
_cell_angle_alpha 90.00
_cell_angle_beta 90.00
_cell_angle_gamma 90.00
loop_
_atom_site_label
_atom_site_type_symbol
_atom_site_fract_x
_atom_site_fract_y
_atom_site_fract_z
La1 La 0.0000 0.0000 0.0000
La2 La 0.0000 0.0000 0.4664
Si1 Si 0.0000 0.5000 0.7829
Pt1 Pt 0.0000 0.5000 0.0351
Pt2 Pt 0.2446 0.2805 0.2385
```

---

Below is crystalline Pr2Sm4Sc at its relaxed geometry, with properties calculated at the PBE level.

Summary:
Energy relative to the lowest polymorph listed for this composition ... 0.00 kcal/mol of atoms
ρ ... 6.6 g/cm3
ΔH_f (0 K) ... 0.18 eV per atom
Density of states at the Fermi level ... 37.96 states/eV per cell

The structure in CIF format:
```
data_Pr2Sm4Sc
_space_group_name_H-M_alt 'C m c m'
_space_group_IT_number 63
_space_group_name_Hall '-C 2c 2'
_cell_length_a 6.8046
_cell_length_b 12.3453
_cell_length_c 11.2001
_cell_angle_alpha 90.00
_cell_angle_beta 90.00
_cell_angle_gamma 90.00
loop_
_atom_site_label
_atom_site_type_symbol
_atom_site_fract_x
_atom_site_fract_y
_atom_site_fract_z
Pr1 Pr 0.0000 0.0415 0.2500
Pr2 Pr 0.0000 0.3271 0.2500
Sm1 Sm 0.0000 0.2203 0.5476
Sm2 Sm 0.2194 0.5000 0.0000
Sc1 Sc 0.0000 0.3984 0.7500
```

---

Below is crystalline ReSn2Pd at its relaxed geometry, with properties calculated at the PBE level.

Summary:
Energy relative to the lowest polymorph listed for this composition ... 8.61 kcal/mol of atoms
ρ ... 10.8 g/cm3
ΔH_f (0 K) ... 0.61 eV per atom
Density of states at the Fermi level ... 8.00 states/eV per cell

The structure in CIF format:
```
data_ReSn2Pd
_space_group_name_H-M_alt 'I -4 2 d'
_space_group_IT_number 122
_space_group_name_Hall 'I -4 2bw'
_cell_length_a 7.3153
_cell_length_b 7.3153
_cell_length_c 6.1101
_cell_angle_alpha 90.00
_cell_angle_beta 90.00
_cell_angle_gamma 90.00
loop_
_atom_site_label
_atom_site_type_symbol
_atom_site_fract_x
_atom_site_fract_y
_atom_site_fract_z
Re1 Re 0.0000 0.0000 0.0000
Sn1 Sn 0.2464 0.2500 0.6250
Pd1 Pd 0.0000 0.0000 0.5000
```

---

Below is crystalline Rb4Pr3MnTe8 at its relaxed geometry, with properties calculated at the PBE level.

Summary:
ρ ... 4.9 g/cm3
Density of states at the Fermi level ... 14.56 states/eV per cell
Raw total energy ... -4.411 eV/atom

The structure in CIF format:
```
data_Rb4Pr3MnTe8
_space_group_name_H-M_alt 'R -3 m'
_space_group_IT_number 166
_space_group_name_Hall '-R 3 2"'
_cell_length_a 9.1741
_cell_length_b 9.1741
_cell_length_c 25.6895
_cell_angle_alpha 90.00
_cell_angle_beta 90.00
_cell_angle_gamma 120.00
loop_
_atom_site_label
_atom_site_type_symbol
_atom_site_fract_x
_atom_site_fract_y
_atom_site_fract_z
Rb1 Rb 0.0000 0.0000 0.0000
Rb2 Rb 0.0000 0.5000 0.0000
Pr1 Pr 0.0000 0.5000 0.5000
Mn1 Mn 0.0000 0.0000 0.5000
Te1 Te 0.0000 0.0000 0.2367
Te2 Te 0.0250 0.5125 0.2315
```

---

Below is crystalline Hf5TiBi3 at its relaxed geometry, with properties calculated at the PBE level.

Summary:
ρ ... 10.2 g/cm3
ΔH_f (0 K) ... 0.28 eV per atom
Density of states at the Fermi level ... 32.11 states/eV per cell

The structure in CIF format:
```
data_Hf5TiBi3
_space_group_name_H-M_alt 'C 1 2/m 1'
_space_group_IT_number 12
_space_group_name_Hall '-C 2y'
_cell_length_a 13.0725
_cell_length_b 8.3989
_cell_length_c 10.0510
_cell_angle_alpha 90.00
_cell_angle_beta 112.52
_cell_angle_gamma 90.00
loop_
_atom_site_label
_atom_site_type_symbol
_atom_site_fract_x
_atom_site_fract_y
_atom_site_fract_z
Hf1 Hf 0.0000 0.1663 0.0000
Hf2 Hf 0.0053 0.0000 0.3026
Hf3 Hf 0.1229 0.3145 0.8060
Hf4 Hf 0.2106 0.0000 0.9384
Ti1 Ti 0.0841 0.5000 0.2939
Bi1 Bi 0.0000 0.5000 0.0000
Bi2 Bi 0.0000 0.5000 0.5000
Bi3 Bi 0.1833 0.0000 0.6163
Bi4 Bi 0.1984 0.0000 0.2407
```

---

Below is crystalline TbSm4Sc3 at its relaxed geometry, with properties calculated at the PBE level.

Summary:
Energy relative to the lowest polymorph listed for this composition ... 1.81 kcal/mol of atoms
ρ ... 6.2 g/cm3
ΔH_f (0 K) ... 0.13 eV per atom
Density of states at the Fermi level ... 29.72 states/eV per cell

The structure in CIF format:
```
data_TbSm4Sc3
_space_group_name_H-M_alt 'C 1 2/m 1'
_space_group_IT_number 12
_space_group_name_Hall '-C 2y'
_cell_length_a 15.6320
_cell_length_b 5.6450
_cell_length_c 5.8646
_cell_angle_alpha 90.00
_cell_angle_beta 111.49
_cell_angle_gamma 90.00
loop_
_atom_site_label
_atom_site_type_symbol
_atom_site_fract_x
_atom_site_fract_y
_atom_site_fract_z
Tb1 Tb 0.0000 0.0000 0.0000
Sm1 Sm 0.1295 0.0000 0.5783
Sm2 Sm 0.2475 0.5000 0.8052
Sc1 Sc 0.0000 0.5000 0.5000
Sc2 Sc 0.1242 0.5000 0.1718
```